1.
Here is a relaxed Ti2BCl2 crystal from Alexandria via LeMat-Bulk. Energies are from PBE-GGA.

Cell and atoms, written as POSCAR:
```
Ti2BCl2
1.0
-5.294 2.670 -4.103
4.023 -1.070 -5.887
-1.103 -2.615 -0.278
B Cl Ti
2 4 4
Direct
0.000 0.000 0.000
0.500 0.500 0.000
0.869 0.631 0.000
0.631 0.131 0.000
0.131 0.369 0.000
0.369 0.869 0.000
0.174 0.674 0.500
0.826 0.326 0.500
0.326 0.174 0.500
0.674 0.826 0.500
```

Summary:
spin magnetization = 0.00 Bohr magnetons per cell
final energy = -49.10 eV per cell
N(E_F) = 9.50 states/eV per cell
uncorrected formation energy = 1.6 eV per formula unit

***

2.
Here is a relaxed TiB2WCl crystal from Alexandria via LeMat-Bulk. Energies are from PBE-GGA.

Cell and atoms, written as POSCAR:
```
TiB2WCl
1.0
4.123 0.000 0.000
0.000 4.953 0.000
0.000 0.000 4.123
Cl Ti B W
1 1 2 1
Direct
0.500 0.500 0.500
0.000 0.000 0.000
0.500 0.000 0.000
0.000 0.000 0.500
0.000 0.500 0.000
```

Summary:
spin magnetization = 0.00 Bohr magnetons per cell
final energy = -26.58 eV per cell
N(E_F) = 4.31 states/eV per cell
uncorrected formation energy = 9.5 eV per formula unit

***

- final energy of number 2 (TiB2WCl)?
  -26.58 eV per cell

***

- Number 2 is which compound?
  TiB2WCl

***

- Number 1 is which compound?
  Ti2BCl2

***

Copy entry 2 word for word.
Here is a relaxed TiB2WCl crystal from Alexandria via LeMat-Bulk. Energies are from PBE-GGA.

Cell and atoms, written as POSCAR:
```
TiB2WCl
1.0
4.123 0.000 0.000
0.000 4.953 0.000
0.000 0.000 4.123
Cl Ti B W
1 1 2 1
Direct
0.500 0.500 0.500
0.000 0.000 0.000
0.500 0.000 0.000
0.000 0.000 0.500
0.000 0.500 0.000
```

Summary:
spin magnetization = 0.00 Bohr magnetons per cell
final energy = -26.58 eV per cell
N(E_F) = 4.31 states/eV per cell
uncorrected formation energy = 9.5 eV per formula unit